{
  "formula": "TiCo3B2O8",
  "functional": "PBE+U",
  "state": "optimized geometry",
  "dft_energy_ev_per_cell": -207.24,
  "vol_a3_per_cell": 281.0,
  "magmom_total_mub_per_cell": 18.01,
  "cell": [[3.146, 0.000, 0.000], [0.000, 9.498, 0.000], [0.000, 0.000, 9.405]],
  "species": ["Ti", "Ti", "Co", "Co", "Co", "Co", "Co", "Co", "B", "B", "B", "B", "O", "O", "O", "O", "O", "O", "O", "O", "O", "O", "O", "O", "O", "O", "O", "O"],
  "fractional_positions": [[0.000, 0.185, 0.000], [0.000, 0.815, 0.500], [0.000, 0.432, 0.494], [0.000, 0.568, 0.994], [0.500, 0.071, 0.290], [0.500, 0.319, 0.769], [0.500, 0.681, 0.269], [0.500, 0.929, 0.790], [0.000, 0.121, 0.562], [0.000, 0.879, 0.062], [0.500, 0.382, 0.220], [0.500, 0.618, 0.720], [0.000, 0.008, 0.139], [0.000, 0.115, 0.417], [0.000, 0.249, 0.632], [0.000, 0.358, 0.915], [0.000, 0.642, 0.415], [0.000, 0.751, 0.132], [0.000, 0.885, 0.917], [0.000, 0.992, 0.639], [0.500, 0.127, 0.898], [0.500, 0.250, 0.147], [0.500, 0.381, 0.364], [0.500, 0.495, 0.642], [0.500, 0.505, 0.142], [0.500, 0.619, 0.864], [0.500, 0.750, 0.647], [0.500, 0.873, 0.398]]
}